Entry from the Alexandria database: crystalline LiAlW2 at its relaxed geometry (PBE-GGA).

POSCAR file:
```
LiAlW2
1.0
-0.2630 -4.0472 1.7146
-1.5609 -3.3235 -2.4303
2.7182 -3.1668 -1.4040
W Li Al
2 1 1
Cartesian
0.0000 0.0000 0.0000
0.2236 -2.6344 -0.5299
0.6707 -7.9031 -1.5898
0.4472 -5.2687 -1.0599
```

Summary:
E_form   65 kJ/mol of formula units
Magnetic moment   0.00 μB/cell